[1]
Here is a relaxed HSe2F crystal from Alexandria via LeMat-Bulk. Energies are from PBE.

The structure in POSCAR format:
```
HSe2F
1.0
-2.775 -3.678 0.651
1.565 -3.146 4.852
-4.582 2.157 5.374
H F Se
2 2 4
Cartesian
-4.006 -3.257 3.965 H
-2.139 -5.596 6.746 H
-3.375 -3.342 3.237 F
-2.286 -5.071 5.958 F
-5.619 -2.455 5.329 Se
-4.682 -2.538 8.232 Se
-2.717 -1.277 7.290 Se
-4.843 -0.091 5.523 Se
```

Values from the calculation:
space-group type	P1
energy above the most stable polymorph in this dataset	0.404	eV/f.u.
mass density	3.26	g/cm³

---

[2]
Here is a relaxed HSeF3 crystal from Alexandria via LeMat-Bulk. Energies are from PBE.

The structure in POSCAR format:
```
HSeF3
1.0
-0.460 2.899 2.079
-3.250 -1.204 0.960
1.470 -1.756 2.774
F H Se
3 1 1
Cartesian
-0.230 1.449 1.039 F
0.735 -0.878 1.387 F
-1.625 -0.602 0.480 F
0.000 0.000 0.000 H
-1.120 -0.030 2.906 Se
```

Values from the calculation:
space-group type	Pm-3m
energy above the most stable polymorph in this dataset	1.141	eV/f.u.
mass density	4.89	g/cm³

---

[3]
Here is a relaxed H3SeF crystal from Alexandria via LeMat-Bulk. Energies are from PBE.

The structure in POSCAR format:
```
H3SeF
1.0
-0.130 -3.446 0.302
2.406 0.127 2.486
-2.485 0.304 2.391
H Se F
3 1 1
Cartesian
-0.065 -1.723 0.151 H
1.203 0.064 1.243 H
-1.243 0.152 1.195 H
-0.105 -1.508 2.589 Se
0.000 0.000 0.000 F
```

Values from the calculation:
space-group type	Pm-3m
energy above the most stable polymorph in this dataset	6.779	eV/f.u.
mass density	4.04	g/cm³

---

[4]
Here is a relaxed HSe2F crystal from Alexandria via LeMat-Bulk. Energies are from PBE.

The structure in POSCAR format:
```
HSe2F
1.0
-3.452 -0.654 2.382
0.009 -4.096 -1.112
2.434 -3.888 6.240
Se H F
4 2 2
Cartesian
-1.207 -1.828 2.675 Se
-1.188 -6.668 5.901 Se
0.535 -5.102 5.047 Se
-0.158 -3.678 1.398 Se
0.361 -5.180 2.882 H
-1.721 -2.375 0.635 H
0.000 0.000 0.000 F
-1.370 -3.459 4.629 F
```

Values from the calculation:
space-group type	I-42d
energy above the most stable polymorph in this dataset	3.508	eV/f.u.
mass density	4.59	g/cm³

---

[5]
Here is a relaxed H2Se3F3 crystal from Alexandria via LeMat-Bulk. Energies are from PBE.

The structure in POSCAR format:
```
H2Se3F3
1.0
2.639 4.937 -0.706
-4.749 -2.824 1.147
3.639 0.324 15.858
Se F H
6 6 4
Cartesian
-2.597 -1.438 4.800 Se
-3.157 -2.476 7.099 Se
-4.093 -2.560 3.017 Se
5.622 4.997 13.282 Se
4.686 4.913 9.200 Se
4.126 3.875 11.499 Se
2.861 2.546 11.816 F
-0.200 0.441 7.259 F
1.729 1.996 9.040 F
3.057 2.114 14.828 F
-1.332 -0.109 4.483 F
-1.528 0.323 1.471 F
1.191 2.029 6.300 H
1.402 0.502 14.633 H
0.127 1.935 1.666 H
0.339 0.408 9.999 H
```

Values from the calculation:
space-group type	Cmcm
VASP energy	-3.2249	eV/atom
mass density	3.68	g/cm³

---

[6]
Here is a relaxed HSeF2 crystal from Alexandria via LeMat-Bulk. Energies are from PBE.

The structure in POSCAR format:
```
HSeF2
1.0
-0.213 3.410 -0.416
-5.011 -0.598 -2.128
-2.342 1.904 6.511
F H Se
4 2 2
Cartesian
-2.553 2.733 5.018 F
-4.599 3.287 2.311 F
-4.003 0.859 0.611 F
-4.828 4.250 4.418 F
-4.699 3.782 3.234 H
-4.167 0.506 1.555 H
-1.649 0.869 -0.437 Se
-0.943 2.802 0.848 Se
```

Values from the calculation:
space-group type	P1
energy above the most stable polymorph in this dataset	0.027	eV/f.u.
mass density	2.95	g/cm³